[1]
## RbSmTm4S8 (PBE-GGA)

Data for a relaxed structure of RbSmTm4S8.

abc: 8.1593 8.1593 20.4733
angles: 90.00 90.00 120.00
Space group R3m (No. 160, hexagonal axes)
One atom of each set of equivalent atoms:
Rb 0.0000 0.0000 0.0000 x3
Sm 0.0000 0.0000 0.6353 x3
Tm 0.0000 0.0000 0.2554 x3
Tm 0.1724 0.3448 0.4617 x9
S 0.0000 0.0000 0.3869 x3
S 0.0000 0.0000 0.8590 x3
S 0.0448 0.5224 0.3899 x9
S 0.1741 0.3482 0.2095 x9

Results
ΔE_f (raw) (eV per atom): -1.885
Density of states at the Fermi level (states/eV/f.u.): 0.00
M_tot (μB per cell): 0.000



[2]
## YTiCo2 (PBE-GGA)

Data for a relaxed structure of YTiCo2.

abc: 4.514 4.514 3.135
angles: 90.00 90.00 90.00
Space group P4/mmm (No. 123)
One atom of each set of equivalent atoms:
Y 0.000 0.000 0.000 x1
Ti 0.500 0.500 0.000 x1
Co 0.000 0.500 0.500 x2

Results
Density of states at the Fermi level (states/eV/f.u.): 2.10
M_tot (μB per cell): 1.178
DFT formation energy (eV per atom): -0.10



[3]
## LaCd2Si (PBE-GGA)

Data for a relaxed structure of LaCd2Si.

abc: 4.446 4.446 9.940
angles: 90.00 90.00 90.00
Space group I4/mmm (No. 139)
One atom of each set of equivalent atoms:
La 0.000 0.000 0.000 x2
Cd 0.000 0.500 0.250 x4
Si 0.000 0.000 0.500 x2

Results
ΔE_f (raw) (eV per atom): -0.222
Density of states at the Fermi level (states/eV/f.u.): 1.46
M_tot (μB per cell): 0.000



[4]
## KRb2ZrF6 (PBE-GGA)

Data for a relaxed structure of KRb2ZrF6.

abc: 6.9444 6.9444 31.8325
angles: 90.00 90.00 120.00
Space group R-3m (No. 166, hexagonal axes)
One atom of each set of equivalent atoms:
K 0.0000 0.0000 0.1044 x6
Rb 0.0000 0.0000 0.2418 x6
Rb 0.0000 0.0000 0.3701 x6
Zr 0.0000 0.0000 0.0000 x3
Zr 0.0000 0.0000 0.5000 x3
F 0.0230 0.5115 0.6332 x18
F 0.0676 0.5338 0.2083 x18

Results
ΔE_f (raw) (eV per atom): -2.990
Density of states at the Fermi level (states/eV/f.u.): 2.19
M_tot (μB per cell): 3.685



[5]
## AgRuPt3 (PBE-GGA)

Data for a relaxed structure of AgRuPt3.

abc: 4.798 4.798 4.798
angles: 90.00 90.00 90.00
Space group Pm-3m (No. 221)
One atom of each set of equivalent atoms:
Ag 0.000 0.000 0.000 x1
Ru 0.500 0.500 0.500 x1
Pt 0.000 0.500 0.500 x3

Results
Density of states at the Fermi level (states/eV/f.u.): 6.33
M_tot (μB per cell): 0.000
DFT formation energy (eV per atom): 1.25



[6]
## IrAu2Cl (PBE-GGA)

Data for a relaxed structure of IrAu2Cl.

abc: 5.498 9.069 2.808
angles: 90.00 90.00 90.00
Space group Cmmm (No. 65)
One atom of each set of equivalent atoms:
Ir 0.000 0.000 0.000 x2
Au 0.250 0.250 0.500 x4
Cl 0.000 0.500 0.000 x2

Results
ΔE_f (raw) (eV per atom): 0.651
Density of states at the Fermi level (states/eV/f.u.): 3.49
M_tot (μB per cell): 0.001



[7]
## YNbC3 (PBE-GGA)

Data for a relaxed structure of YNbC3.

abc: 4.172 4.172 4.172
angles: 90.00 90.00 90.00
Space group Pm-3m (No. 221)
One atom of each set of equivalent atoms:
Y 0.000 0.000 0.000 x1
Nb 0.500 0.500 0.500 x1
C 0.000 0.500 0.500 x3

Results
Density of states at the Fermi level (states/eV/f.u.): 5.26
M_tot (μB per cell): 0.000
DFT formation energy (eV per atom): 0.89



[8]
## MgCo2Ni (PBE-GGA)

Data for a relaxed structure of MgCo2Ni.

abc: 2.820 3.004 5.984
angles: 90.00 90.00 90.00
Space group Pmm2 (No. 25)
One atom of each set of equivalent atoms:
Mg 0.000 0.000 0.000 x1
Co 0.000 0.000 0.506 x1
Co 0.500 0.500 0.706 x1
Ni 0.500 0.500 0.276 x1

Results
Density of states at the Fermi level (states/eV/f.u.): 5.47
M_tot (μB per cell): 3.517
DFT formation energy (eV per atom): 0.06



[9]
## Sc2PaCo2 (PBE-GGA)

Data for a relaxed structure of Sc2PaCo2.

abc: 12.439 3.448 10.543
angles: 90.00 123.37 90.00
Space group C2/m (No. 12)
One atom of each set of equivalent atoms:
Sc 0.098 0.000 0.430 x4
Sc 0.165 0.500 0.196 x4
Pa 0.141 0.500 0.858 x4
Co 0.042 0.000 0.925 x4
Co 0.114 0.500 0.627 x4

Results
Density of states at the Fermi level (states/eV/f.u.): 4.73
M_tot (μB per cell): 0.000
DFT formation energy (eV per atom): -0.30



[10]
## Ti3PtPb (PBE-GGA)

Data for a relaxed structure of Ti3PtPb.

abc: 4.834 4.834 4.834
angles: 90.00 90.00 90.00
Space group Pm-3m (No. 221)
One atom of each set of equivalent atoms:
Ti 0.000 0.000 0.500 x3
Pt 0.000 0.000 0.000 x1
Pb 0.500 0.500 0.500 x1

Results
Density of states at the Fermi level (states/eV/f.u.): 4.57
M_tot (μB per cell): 0.000
DFT formation energy (eV per atom): 0.11



[11]
## RbSiRh3 (PBE-GGA)

Data for a relaxed structure of RbSiRh3.

abc: 4.826 4.826 4.826
angles: 90.00 90.00 90.00
Space group Pm-3m (No. 221)
One atom of each set of equivalent atoms:
Rb 0.000 0.000 0.000 x1
Si 0.500 0.500 0.500 x1
Rh 0.000 0.000 0.500 x3

Results
ΔE_f (raw) (eV per atom): 2.402
Density of states at the Fermi level (states/eV/f.u.): 5.18
M_tot (μB per cell): 1.096



[12]
## Pr2GdDy (PBE-GGA)

Data for a relaxed structure of Pr2GdDy.

abc: 5.165 5.165 5.102
angles: 90.00 90.00 90.00
Space group P4/mmm (No. 123)
One atom of each set of equivalent atoms:
Pr 0.000 0.500 0.000 x2
Gd 0.000 0.000 0.500 x1
Dy 0.500 0.500 0.500 x1

Results
Density of states at the Fermi level (states/eV/f.u.): 6.26
M_tot (μB per cell): 7.312
DFT formation energy (eV per atom): 0.01



> Which of these has the lowest density of states at the Fermi level?

RbSmTm4S8



> The highest M_tot belongs to which entry?

Pr2GdDy



> What is the formula in the eighth record?

MgCo2Ni